The following is a PBE-GGA calculation of K3RbAu after structural relaxation, from the Alexandria database.

Unit cell a=12.5361 b=12.5361 c=12.5361 alpha=60.00 beta=60.00 gamma=60.00
Atoms (fractional coordinates):
K 0.6803 0.3197 0.3197
K 0.9303 0.5697 0.5697
K 0.5697 0.5697 0.9303
K 0.5697 0.9303 0.9303
K 0.9303 0.5697 0.9303
K 0.6803 0.3197 0.6803
K 0.5697 0.9303 0.5697
K 0.9303 0.9303 0.5697
K 0.3197 0.6803 0.3197
K 0.3197 0.6803 0.6803
K 0.3197 0.3197 0.6803
K 0.6803 0.6803 0.3197
Au 0.6250 0.6250 0.6250
Au 0.6250 0.1250 0.6250
Au 0.1250 0.6250 0.6250
Au 0.6250 0.6250 0.1250
Rb 0.1250 0.1250 0.1250
Rb 0.1250 0.6250 0.1250
Rb 0.6250 0.1250 0.1250
Rb 0.1250 0.1250 0.6250

Results
Formation enthalpy at 0 K in eV/atom: -0.075
Fermi-level density of states in states/eV/f.u.: 2.56

The following is a PBE-GGA calculation of NaHg2Br5 after structural relaxation, from the Alexandria database.

Unit cell a=5.6108 b=7.7634 c=13.7192 alpha=90.00 beta=90.00 gamma=111.18
Atoms (fractional coordinates):
Na 0.7738 0.5475 0.7500
Na 0.2262 0.4525 0.2500
Hg 0.8706 0.7411 0.4404
Hg 0.8706 0.7411 0.0596
Hg 0.1294 0.2589 0.5596
Hg 0.1294 0.2589 0.9404
Br 0.9419 0.8837 0.8777
Br 0.9419 0.8837 0.6223
Br 0.3223 0.6445 0.4453
Br 0.3223 0.6445 0.0547
Br 0.7915 0.5830 0.2500
Br 0.2085 0.4170 0.7500
Br 0.6777 0.3555 0.5547
Br 0.6777 0.3555 0.9453
Br 0.0581 0.1163 0.1223
Br 0.0581 0.1163 0.3777

Results
E_form (uncorrected) in eV/atom: -0.6516

The following is a PBE-GGA calculation of Li2Ge2Pd5Au after structural relaxation, from the Alexandria database.

Unit cell a=3.7387 b=9.3575 c=9.3575 alpha=90.00 beta=90.00 gamma=90.00
Atoms (fractional coordinates):
Li 0.0000 0.6693 0.1693
Li 0.0000 0.3307 0.8307
Li 0.0000 0.1693 0.3307
Li 0.0000 0.8307 0.6693
Ge 0.0000 0.1302 0.6302
Ge 0.0000 0.8698 0.3698
Ge 0.0000 0.6302 0.8698
Ge 0.0000 0.3698 0.1302
Pd 0.5000 0.2042 0.0752
Pd 0.5000 0.7958 0.9248
Pd 0.5000 0.0752 0.7958
Pd 0.5000 0.7042 0.4248
Pd 0.5000 0.9248 0.2042
Pd 0.5000 0.2958 0.5752
Pd 0.5000 0.5752 0.7042
Pd 0.5000 0.4248 0.2958
Pd 0.5000 0.5000 0.0000
Pd 0.5000 0.0000 0.5000
Au 0.0000 0.0000 0.0000
Au 0.0000 0.5000 0.5000

Results
Formation enthalpy at 0 K in eV/atom: -0.450
Fermi-level density of states in states/eV/f.u.: 2.50